Density functional theory data (PBE) for an optimized crystal structure of TlAgSn.

Cell lengths 4.7032, 6.0284, 6.9594 Å; angles 119.50, 70.25, 90.06 degrees
With the nearest neighbours (Å) after each atom.
Fractional coordinates of all 6 atoms:
Ag1 0.5656 0.2658 0.5254  4 Sn 2.86-2.87, 1 Ag 2.93, 2 Tl 3.06-3.09
Ag2 0.8274 0.9791 0.0013  1 Ag 2.93, 3 Sn 2.98-2.99, 4 Tl 3.15-3.26
Tl1 0.2594 0.7062 0.1389  4 Sn 3.12-3.24, 3 Ag 3.25-3.47
Tl2 0.5122 0.8286 0.6316  4 Ag 3.06-3.15
Sn1 0.1840 0.2932 0.2885  4 Ag 2.87-2.99, 2 Tl 3.12-3.14
Sn2 0.9295 0.3207 0.7979  3 Ag 2.86-2.98

- energy above the lowest structure with this stoichiometry (eV per atom) = 0.054
- energy of formation (eV per atom) = 0.0859

Density functional theory data (PBE) for an optimized crystal structure of CePm2Sn.

Cell lengths 5.4800, 5.4800, 5.4800 Å; angles 60.00, 60.00, 60.00 degrees
With the nearest neighbours (Å) after each atom.
Fractional coordinates of all 4 atoms:
Pm1 0.2500 0.2500 0.2500  4 Sn 3.36, 4 Ce 3.36
Pm2 0.7500 0.7500 0.7500  4 Sn 3.36, 4 Ce 3.36
Sn1 0.5000 0.5000 0.5000  8 Pm 3.36
Ce1 0.0000 0.0000 0.0000  8 Pm 3.36

- energy above the lowest structure with this stoichiometry (eV per atom) = 0.191
- energy of formation (eV per atom) = -0.2176

Density functional theory data (PBE) for an optimized crystal structure of Zr3ScRh6.

Cell lengths 4.6377, 7.8108, 9.9648 Å; angles 110.36, 90.00, 90.00 degrees
With the nearest neighbours (Å) after each atom.
Fractional coordinates of all 20 atoms:
Zr1 0.7500 0.1983 0.0117  10 Rh 2.73-2.98
Zr2 0.2500 0.3654 0.8019  7 Rh 2.61-2.81
Zr3 0.2500 0.5179 0.3786  9 Rh 2.68-2.95
Zr4 0.7500 0.6346 0.1981  7 Rh 2.61-2.81
Zr5 0.7500 0.4821 0.6214  9 Rh 2.68-2.95
Zr6 0.2500 0.8017 0.9883  10 Rh 2.73-2.98
Rh1 0.2500 0.2542 0.5040  4 Zr 2.76-2.91, 3 Sc 2.77-2.83, 2 Rh 3.01-3.07
Rh2 0.2500 0.8448 0.2944  3 Sc 2.76-2.85, 4 Zr 2.81-2.95, 4 Rh 2.96-3.04
Rh3 0.2500 0.1501 0.1830  4 Zr 2.74-2.98, 8 Rh 2.82-3.01
Rh4 0.7500 0.3358 0.3206  1 Sc 2.64, 4 Zr 2.68-2.89, 2 Rh 2.82
Rh5 0.2500 0.0700 0.8682  1 Sc 2.61, 4 Zr 2.61-2.75, 2 Rh 2.83
Rh6 0.7500 0.8499 0.8170  4 Zr 2.74-2.98, 8 Rh 2.82-3.01
Rh7 0.7500 0.5473 0.9129  6 Zr 2.68-2.98, 1 Rh 2.84
Rh8 0.2500 0.4527 0.0871  6 Zr 2.68-2.98, 1 Rh 2.84
Rh9 0.7500 0.9300 0.1318  1 Sc 2.61, 4 Zr 2.61-2.75, 2 Rh 2.83
Rh10 0.2500 0.6642 0.6794  1 Sc 2.64, 4 Zr 2.68-2.89, 2 Rh 2.82
Rh11 0.7500 0.1552 0.7056  3 Sc 2.76-2.85, 4 Zr 2.81-2.95, 4 Rh 2.96-3.04
Rh12 0.7500 0.7458 0.4960  4 Zr 2.76-2.91, 3 Sc 2.77-2.83, 2 Rh 3.01-3.07
Sc1 0.2500 0.9446 0.5889  8 Rh 2.61-2.85
Sc2 0.7500 0.0554 0.4111  8 Rh 2.61-2.85

- energy of formation (eV per atom) = -0.7847

Density functional theory data (PBE) for an optimized crystal structure of RuW3N.

Cell lengths 4.1049, 4.1049, 4.1049 Å; angles 90.00, 90.00, 90.00 degrees
With the nearest neighbours (Å) after each atom.
Fractional coordinates of all 5 atoms:
Ru1 0.5000 0.5000 0.5000  12 W 2.90
W1 0.5000 0.0000 0.0000  2 N 2.05
W2 0.0000 0.5000 0.0000  2 N 2.05
W3 0.0000 0.0000 0.5000  2 N 2.05
N1 0.0000 0.0000 0.0000  6 W 2.05

- formation energy without anion corrections (eV/f.u.) = 0.18
- energy above the lowest structure with this stoichiometry (eV per atom) = 0.000

Quick rundown of spin magnetization, same order as above: 0.0 0.5 0.0 0.0 μB/cell